Ac2MgZn6Co | PBE | optimized geometry

Output
Total magnetic moment = 0.00 μB per atom
Formation energy = -57 kJ/mol of formula units

a b c (Å): 6.858 6.858 6.858
angles (deg): 119.94 119.94 90.11
Fractional coordinates of all 10 atoms:
Ac (0.250, 0.750, 0.500)
Ac (0.750, 0.250, 0.500)
Mg (0.000, 0.000, 0.000)
Zn (0.264, 0.264, 0.000)
Zn (0.264, 0.264, 0.529)
Zn (0.264, 0.736, 0.000)
Zn (0.736, 0.264, 0.000)
Zn (0.736, 0.736, 0.000)
Zn (0.736, 0.736, 0.471)
Co (0.500, 0.500, 0.000)